First-principles (GGA-PBE) data for a relaxed SrBi3C crystal, as listed in the Alexandria database.

Structure (POSCAR):
```
SrBi3C
1.0
5.1816 0.0000 0.0000
0.0000 5.1816 0.0000
0.0000 0.0000 5.1816
Sr Bi C
1 3 1
direct
0.0000 0.0000 0.0000 Sr
0.0000 0.5000 0.5000 Bi
0.5000 0.0000 0.5000 Bi
0.5000 0.5000 0.0000 Bi
0.5000 0.5000 0.5000 C
```

- excess energy over the best structure of this formula in the dataset (eV per atom) = 0.000
- N(E_F) (states/eV/cell) = 5.16
- formation enthalpy at 0 K (eV per formula unit) = 2.67
- space group = Pm-3m, No. 221
- volume (Å³ per atom) = 27.8